Here is a relaxed structure of LaPr2Al7Cu2 from the Open Quantum Materials Database. Energies are from PBE.

final energy = -4.49 eV per atom

Cell: 9.277 9.277 9.277 Å, 35.29 35.29 35.29°
Sites, in units of the cell vectors:
La: 0.000 0.000 0.000
Pr: 0.141 0.141 0.141
Pr: 0.859 0.859 0.859
Al: 0.072 0.581 0.581
Al: 0.419 0.419 0.928
Al: 0.419 0.928 0.419
Al: 0.500 0.500 0.500
Al: 0.581 0.072 0.581
Al: 0.581 0.581 0.072
Al: 0.928 0.419 0.419
Cu: 0.335 0.335 0.335
Cu: 0.665 0.665 0.665